## A
The following is a PBE calculation of crystalline Tb4HoTl2 at its relaxed geometry, from the Alexandria database.

Cell: 5.491 5.491 9.358 Å, 72.94 72.94 60.00°
Atoms (fractional coordinates):
Tl 0.382 0.382 0.854
Tl 0.618 0.618 0.146
Ho 0.500 0.500 0.500
Tb 0.131 0.131 0.606
Tb 0.736 0.736 0.792
Tb 0.869 0.869 0.394
Tb 0.264 0.264 0.208

## B
The following is a PBE calculation of crystalline Tb4HoTl2 at its relaxed geometry, from the Alexandria database.

Cell: 6.265 6.265 8.446 Å, 111.34 133.72 65.01°
Atoms (fractional coordinates):
Tl 0.317 0.412 0.729
Tl 0.683 0.588 0.271
Tb 0.000 0.500 0.000
Tb 0.500 0.000 0.000
Tb 0.709 0.209 0.500
Tb 0.291 0.791 0.500
Ho 0.000 0.000 0.000

A comes first in stability; the runner-up is 0.042 eV/atom higher.

## A
The following is a PBE calculation of crystalline Tb2HoTl at its relaxed geometry, from the Alexandria database.

Cell: 4.865 4.851 4.851 Å, 90.00 90.00 90.00°
Each line ends with the local moment (μB).
Atoms (fractional coordinates):
Tl 0.500 0.000 0.000  -0.01
Ho 0.500 0.500 0.500  0.23
Tb 0.000 0.500 0.000  0.21
Tb 0.000 0.000 0.500  0.21

## B
The following is a PBE calculation of crystalline Tb2HoTl at its relaxed geometry, from the Alexandria database.

Cell: 3.612 3.612 9.198 Å, 90.00 90.00 90.00°
Atoms (fractional coordinates):
Tb 0.000 0.000 0.231
Tb 0.000 0.000 0.769
Ho 0.500 0.500 0.500
Tl 0.500 0.500 0.000

A comes first in stability; the runner-up is 0.023 eV/atom higher.

## A
The following is a PBE calculation of crystalline Tb2HoTl at its relaxed geometry, from the Alexandria database.

Cell: 3.625 6.632 10.346 Å, 90.00 90.00 105.87°
Atoms (fractional coordinates):
Tb 0.630 0.261 0.031
Tb 0.630 0.261 0.469
Tb 0.370 0.739 0.531
Tb 0.370 0.739 0.969
Tl 0.245 0.490 0.250
Tl 0.755 0.510 0.750
Ho 0.961 0.922 0.250
Ho 0.039 0.078 0.750

## B
The following is a PBE calculation of crystalline Tb2HoTl at its relaxed geometry, from the Alexandria database.

Cell: 3.847 5.365 6.663 Å, 113.74 106.78 90.00°
Atoms (fractional coordinates):
Ho 0.500 0.500 0.000
Tl 0.000 0.000 0.000
Tb 0.277 0.777 0.553
Tb 0.723 0.223 0.447

## C
The following is a PBE calculation of crystalline Tb2HoTl at its relaxed geometry, from the Alexandria database.

Cell: 5.473 5.473 5.473 Å, 60.00 60.00 60.00°
Each line ends with the local moment (μB).
Atoms (fractional coordinates):
Ho 0.000 0.000 0.000  0.42
Tb 0.250 0.250 0.250  0.33
Tb 0.750 0.750 0.750  0.33
Tl 0.500 0.500 0.500  0.01

## D
The following is a PBE calculation of crystalline Tb2HoTl at its relaxed geometry, from the Alexandria database.

Cell: 3.638 3.638 10.950 Å, 80.43 80.43 59.99°
Each line ends with the local moment (μB).
Atoms (fractional coordinates):
Ho 0.500 0.500 0.500  0.21
Tl 0.667 0.667 0.000  0.00
Tb 0.079 0.079 0.763  0.14
Tb 0.255 0.255 0.236  0.03

B comes first in stability; the runner-up is 0.006 eV/atom higher.

## A
The following is a PBE calculation of crystalline TbHo3Tl4 at its relaxed geometry, from the Alexandria database.

Cell: 3.784 3.784 15.128 Å, 90.00 90.00 90.00°
Atoms (fractional coordinates):
Ho 0.500 0.500 0.251
Ho 0.500 0.500 0.749
Ho 0.500 0.500 0.500
Tl 0.000 0.000 0.624
Tl 0.000 0.000 0.873
Tl 0.000 0.000 0.376
Tl 0.000 0.000 0.127
Tb 0.500 0.500 0.000

## B
The following is a PBE calculation of crystalline TbHo3Tl4 at its relaxed geometry, from the Alexandria database.

Cell: 6.613 6.697 10.030 Å, 90.00 90.00 90.00°
Atoms (fractional coordinates):
Ho 0.565 0.250 0.750
Ho 0.814 0.000 0.000
Ho 0.565 0.250 0.250
Ho 0.065 0.750 0.750
Ho 0.314 0.000 0.500
Ho 0.065 0.750 0.250
Tl 0.064 0.250 0.750
Tl 0.815 0.500 0.500
Tl 0.064 0.250 0.250
Tl 0.564 0.750 0.750
Tl 0.814 0.999 0.500
Tl 0.314 0.001 0.000
Tl 0.564 0.750 0.250
Tl 0.315 0.500 0.000
Tb 0.815 0.499 0.000
Tb 0.315 0.501 0.500

A comes first in stability; the runner-up is 0.129 eV/atom higher.

## A
The following is a PBE calculation of crystalline Tb3Ho3Tl at its relaxed geometry, from the Alexandria database.

Cell: 5.187 13.246 12.743 Å, 90.00 90.00 90.00°
Atoms (fractional coordinates):
Tl 0.750 0.444 0.316
Tl 0.250 0.056 0.816
Tl 0.250 0.556 0.684
Tl 0.750 0.944 0.184
Ho 0.750 0.482 0.569
Ho 0.250 0.518 0.431
Ho 0.250 0.553 0.929
Ho 0.750 0.224 0.446
Ho 0.250 0.053 0.571
Ho 0.750 0.724 0.054
Ho 0.250 0.018 0.069
Ho 0.250 0.276 0.946
Ho 0.750 0.447 0.071
Ho 0.750 0.947 0.429
Ho 0.250 0.776 0.554
Ho 0.750 0.982 0.931
Tb 0.750 0.911 0.688
Tb 0.250 0.826 0.269
Tb 0.750 0.174 0.731
Tb 0.750 0.686 0.368
Tb 0.250 0.314 0.632
Tb 0.250 0.089 0.312
Tb 0.750 0.674 0.769
Tb 0.250 0.814 0.868
Tb 0.250 0.326 0.231
Tb 0.750 0.411 0.812
Tb 0.250 0.589 0.188
Tb 0.750 0.186 0.132

## B
The following is a PBE calculation of crystalline Tb3Ho3Tl at its relaxed geometry, from the Alexandria database.

Cell: 5.539 9.392 9.393 Å, 120.04 90.00 90.00°
Atoms (fractional coordinates):
Tb 0.750 0.479 0.372
Tb 0.250 0.521 0.628
Tb 0.750 0.894 0.522
Tb 0.750 0.628 0.106
Tb 0.250 0.106 0.478
Tb 0.250 0.372 0.894
Ho 0.750 0.177 0.938
Ho 0.750 0.063 0.240
Ho 0.250 0.823 0.062
Ho 0.750 0.760 0.822
Ho 0.250 0.937 0.760
Ho 0.250 0.240 0.178
Tl 0.750 0.333 0.667
Tl 0.250 0.667 0.333

B comes first in stability; the runner-up is 0.097 eV/atom higher.

## A
The following is a PBE calculation of crystalline Tb3Ho2Tl at its relaxed geometry, from the Alexandria database.

Cell: 6.157 6.999 9.189 Å, 90.00 109.57 90.00°
Atoms (fractional coordinates):
Ho 0.328 0.750 0.626
Ho 0.672 0.250 0.374
Ho 0.702 0.750 0.374
Ho 0.298 0.250 0.626
Tl 0.808 0.750 0.000
Tl 0.192 0.250 0.000
Tb 0.676 0.250 0.000
Tb 0.861 0.500 0.722
Tb 0.139 0.000 0.278
Tb 0.324 0.750 0.000
Tb 0.139 0.500 0.278
Tb 0.861 0.000 0.722

## B
The following is a PBE calculation of crystalline Tb3Ho2Tl at its relaxed geometry, from the Alexandria database.

Cell: 4.856 4.878 7.944 Å, 107.88 90.00 90.00°
Atoms (fractional coordinates):
Ho 0.000 0.337 0.674
Ho 0.000 0.663 0.326
Tb 0.500 0.500 0.000
Tb 0.500 0.831 0.661
Tb 0.500 0.169 0.339
Tl 0.000 0.000 0.000

B comes first in stability; the runner-up is 0.051 eV/atom higher.